Record 1
A geometry-optimized DyAlTe3Pb structure, computed with PBE.

POSCAR file:
```
DyAlTe3Pb
1.0
2.2121 -7.3912 0.0000
2.2121 7.3912 0.0000
0.0000 0.0000 11.0345
Dy Al Te Pb
2 2 6 2
Direct
0.0000 0.0000 0.0000
0.0000 0.0000 0.5000
0.4749 0.5251 0.7500
0.5251 0.4749 0.2500
0.0955 0.9045 0.7500
0.3568 0.6432 0.5495
0.3568 0.6432 0.9505
0.6432 0.3568 0.0495
0.6432 0.3568 0.4505
0.9045 0.0955 0.2500
0.2099 0.7901 0.2500
0.7901 0.2099 0.7500
```

Results
The magnetization comes out at 0.0 μB per cell. As for the volume: 30.1 A^3/atom. The total energy is -4.145 eV/atom.

---

Record 2
A geometry-optimized Li2TcAgH6 structure, computed with PBE.

POSCAR file:
```
Li2TcAgH6
1.0
0.0000 3.6053 3.6053
3.6053 0.0000 3.6053
3.6053 3.6053 0.0000
Li Tc Ag H
2 1 1 6
Direct
0.2500 0.2500 0.2500
0.7500 0.7500 0.7500
0.0000 0.0000 0.0000
0.5000 0.5000 0.5000
0.2429 0.2429 0.7571
0.2429 0.7571 0.2429
0.2429 0.7571 0.7571
0.7571 0.2429 0.2429
0.7571 0.2429 0.7571
0.7571 0.7571 0.2429
```

Results
The magnetization comes out at 1.9 μB per cell. As for the volume: 9.4 A^3/atom. The total energy is -3.621 eV/atom.

---

> Which value of magnetization does entry 2 give?

1.9 μB per cell